# PBE-GGA Fe2Tc2Sn, relaxed
# - E_form: 40.1 kJ/mol of atoms
# - Total energy: -79.162 eV for the cell shown
# - Energy above the most stable polymorph in this dataset: 115 meV/atom
# - Total magnetization: 6.42 Bohr magnetons per cell
data_Fe2Tc2Sn
_chemical_formula_sum 'Fe4 Tc4 Sn2'
_cell_length_a 3.7391
_cell_length_b 3.7391
_cell_length_c 11.2812
_cell_angle_alpha 90.00
_cell_angle_beta 90.00
_cell_angle_gamma 90.00
_symmetry_space_group_name_H-M 'I 4/m m m'
_symmetry_Int_Tables_number 139
_symmetry_space_group_name_Hall '-I 4 2'
loop_
_atom_site_label
_atom_site_fract_x
_atom_site_fract_y
_atom_site_fract_z
Fe1 0.0000 0.5000 0.2500
Tc1 0.0000 0.0000 0.1107
Sn1 0.0000 0.0000 0.5000

# PBE-GGA Pm2Sn2S7, relaxed
# - Total energy: -114.627 eV for the cell shown
# - Energy relative to the elements, uncorrected: -95.7 kJ per mole of atoms
# - Total magnetization: 0.00 Bohr magnetons per cell
data_Pm2Sn2S7
_chemical_formula_sum 'Pm4 Sn4 S14'
_cell_length_a 9.1858
_cell_length_b 11.3136
_cell_length_c 6.3700
_cell_angle_alpha 90.00
_cell_angle_beta 101.44
_cell_angle_gamma 90.00
_symmetry_space_group_name_H-M 'C 1 2/m 1'
_symmetry_Int_Tables_number 12
_symmetry_space_group_name_Hall '-C 2y'
loop_
_atom_site_label
_atom_site_fract_x
_atom_site_fract_y
_atom_site_fract_z
Pm1 0.0000 0.2018 0.0000
Sn1 0.2437 0.5000 0.4108
S1 0.0000 0.5000 0.5000
S2 0.0763 0.0000 0.2543
S3 0.2445 0.1827 0.7818

# PBE-GGA Sr6CuIr, relaxed
# - E_form: -10.4 kJ/mol of atoms
# - Total energy: -47.820 eV for the cell shown
# - Total magnetization: 0.00 Bohr magnetons per cell
data_Sr6CuIr
_chemical_formula_sum 'Sr12 Cu2 Ir2'
_cell_length_a 7.4869
_cell_length_b 12.9468
_cell_length_c 7.4705
_cell_angle_alpha 90.00
_cell_angle_beta 107.58
_cell_angle_gamma 90.00
_symmetry_space_group_name_H-M 'C 1 2/m 1'
_symmetry_Int_Tables_number 12
_symmetry_space_group_name_Hall '-C 2y'
loop_
_atom_site_label
_atom_site_fract_x
_atom_site_fract_y
_atom_site_fract_z
Sr1 0.2348 0.1588 0.2427
Sr2 0.2470 0.0000 0.7603
Cu1 0.0000 0.5000 0.5000
Ir1 0.0000 0.0000 0.0000

# PBE-GGA AcPaTe3, relaxed
# - Total energy: -115.014 eV for the cell shown
# - Energy above the most stable polymorph in this dataset: 14 meV/atom
# - Energy relative to the elements, uncorrected: -110.5 kJ per mole of atoms
# - Total magnetization: 6.51 Bohr magnetons per cell
data_AcPaTe3
_chemical_formula_sum 'Ac4 Pa4 Te12'
_cell_length_a 16.8485
_cell_length_b 4.4076
_cell_length_c 9.6399
_cell_angle_alpha 90.00
_cell_angle_beta 91.40
_cell_angle_gamma 90.00
_symmetry_space_group_name_H-M 'C 1 2/m 1'
_symmetry_Int_Tables_number 12
_symmetry_space_group_name_Hall '-C 2y'
loop_
_atom_site_label
_atom_site_fract_x
_atom_site_fract_y
_atom_site_fract_z
Ac1 0.1067 0.0000 0.4128
Pa1 0.1971 0.5000 0.8736
Te1 0.0456 0.5000 0.6742
Te2 0.1201 0.0000 0.0515
Te3 0.2481 0.5000 0.3327

# PBE-GGA TlCr2TcP, relaxed
# - E_form: 256.0 kJ/mol of atoms
# - Total energy: -24.124 eV for the cell shown
# - Total magnetization: 2.58 Bohr magnetons per cell
data_TlCr2TcP
_chemical_formula_sum 'Tl1 Cr2 Tc1 P1'
_cell_length_a 4.8437
_cell_length_b 4.8437
_cell_length_c 5.0605
_cell_angle_alpha 90.00
_cell_angle_beta 90.00
_cell_angle_gamma 90.00
_symmetry_space_group_name_H-M 'P 4/m m m'
_symmetry_Int_Tables_number 123
_symmetry_space_group_name_Hall '-P 4 2'
loop_
_atom_site_label
_atom_site_fract_x
_atom_site_fract_y
_atom_site_fract_z
Tl1 0.0000 0.0000 0.0000
Cr1 0.0000 0.5000 0.0000
Tc1 0.0000 0.0000 0.5000
P1 0.5000 0.5000 0.5000

# PBE-GGA Ba2SrCoPt, relaxed
# - E_form: 17.2 kJ/mol of atoms
# - Total energy: -17.783 eV for the cell shown
# - Total magnetization: 0.00 Bohr magnetons per cell
data_Ba2SrCoPt
_chemical_formula_sum 'Ba2 Sr1 Co1 Pt1'
_cell_length_a 5.9847
_cell_length_b 5.9847
_cell_length_c 4.8068
_cell_angle_alpha 90.00
_cell_angle_beta 90.00
_cell_angle_gamma 90.00
_symmetry_space_group_name_H-M 'P 4/m m m'
_symmetry_Int_Tables_number 123
_symmetry_space_group_name_Hall '-P 4 2'
loop_
_atom_site_label
_atom_site_fract_x
_atom_site_fract_y
_atom_site_fract_z
Ba1 0.0000 0.5000 0.0000
Sr1 0.0000 0.0000 0.5000
Co1 0.5000 0.5000 0.0000
Pt1 0.5000 0.5000 0.5000

# PBE-GGA Sr2GaFe2, relaxed
# - E_form: 27.5 kJ/mol of atoms
# - Total energy: -43.787 eV for the cell shown
# - Total magnetization: 9.70 Bohr magnetons per cell
data_Sr2GaFe2
_chemical_formula_sum 'Sr4 Ga2 Fe4'
_cell_length_a 3.4366
_cell_length_b 3.4366
_cell_length_c 20.4899
_cell_angle_alpha 90.00
_cell_angle_beta 90.00
_cell_angle_gamma 90.00
_symmetry_space_group_name_H-M 'I 4/m m m'
_symmetry_Int_Tables_number 139
_symmetry_space_group_name_Hall '-I 4 2'
loop_
_atom_site_label
_atom_site_fract_x
_atom_site_fract_y
_atom_site_fract_z
Sr1 0.0000 0.0000 0.1120
Ga1 0.0000 0.0000 0.5000
Fe1 0.0000 0.5000 0.2500

# PBE-GGA MgCdBi2, relaxed
# - E_form: 19.5 kJ/mol of atoms
# - Total energy: -37.861 eV for the cell shown
# - Energy above the most stable polymorph in this dataset: 211 meV/atom
# - Total magnetization: 0.00 Bohr magnetons per cell
data_MgCdBi2
_chemical_formula_sum 'Mg4 Cd4 Bi8'
_cell_length_a 7.2045
_cell_length_b 7.2045
_cell_length_c 11.4016
_cell_angle_alpha 90.00
_cell_angle_beta 90.00
_cell_angle_gamma 90.00
_symmetry_space_group_name_H-M 'I -4 2 d'
_symmetry_Int_Tables_number 122
_symmetry_space_group_name_Hall 'I -4 2bw'
loop_
_atom_site_label
_atom_site_fract_x
_atom_site_fract_y
_atom_site_fract_z
Mg1 0.0000 0.0000 0.0000
Cd1 0.0000 0.0000 0.5000
Bi1 0.2502 0.2500 0.1250

# PBE-GGA La2Sn8Ir, relaxed
# - E_form: -45.0 kJ/mol of atoms
# - Total energy: -55.864 eV for the cell shown
# - Total magnetization: 0.00 Bohr magnetons per cell
data_La2Sn8Ir
_chemical_formula_sum 'La2 Sn8 Ir1'
_cell_length_a 4.7807
_cell_length_b 4.7807
_cell_length_c 12.5585
_cell_angle_alpha 90.00
_cell_angle_beta 90.00
_cell_angle_gamma 90.00
_symmetry_space_group_name_H-M 'P 4/m m m'
_symmetry_Int_Tables_number 123
_symmetry_space_group_name_Hall '-P 4 2'
loop_
_atom_site_label
_atom_site_fract_x
_atom_site_fract_y
_atom_site_fract_z
La1 0.0000 0.0000 0.1893
Sn1 0.0000 0.5000 0.0000
Sn2 0.0000 0.5000 0.3793
Sn3 0.5000 0.5000 0.1934
Ir1 0.0000 0.0000 0.5000

Question: Among the records above, which one has the highest total energy?
Answer: Ba2SrCoPt